Below is a geometry-optimized RbRu4O8 structure, with properties calculated at the PBEsol level.

Cell and atoms, written as extended XYZ:
```
13
Lattice="-0.211 1.002 2.976 -6.014 -3.110 2.285 3.563 -5.033 3.612" Properties=species:S:1:pos:R:3 pbc="T T T"
Rb 0.000 0.000 0.000
Ru -3.121 -4.801 4.724
Ru 0.458 -2.339 4.149
Ru -0.181 -4.742 6.576
Ru -2.481 -2.399 2.296
O 0.895 -1.649 2.283
O -3.557 -5.491 6.589
O -3.834 -1.610 3.598
O 1.171 -5.530 5.274
O 0.369 -3.948 3.020
O -3.031 -3.192 5.852
O -1.425 -2.058 3.920
O -1.238 -5.083 4.952
```

Properties
magnetization = 0.00 μB per formula unit
space-group type = I4/m (87)
energy = -7.552 eV/atom
uncorrected formation energy = -1112 meV/atom
DOS(E_F) = 5.32 states/eV per cell

Below is a geometry-optimized Rb2SO4 structure, with properties calculated at the PBEsol level.

Cell and atoms, written as extended XYZ:
```
28
Lattice="5.942 0.000 0.000 0.000 7.783 0.000 0.000 0.000 10.385" Properties=species:S:1:pos:R:3 pbc="T T T"
S 4.456 2.055 9.540
S 1.485 5.728 0.845
S 4.456 5.946 6.038
S 1.485 1.837 4.347
O 0.267 6.237 1.541
O 3.238 1.545 8.845
O 2.704 2.346 3.652
O 5.675 5.437 6.733
O 5.675 1.545 8.845
O 2.704 6.237 1.541
O 3.238 5.437 6.733
O 0.267 2.346 3.652
O 4.456 1.551 0.562
O 1.485 6.231 9.823
O 4.456 5.443 4.630
O 1.485 2.340 5.755
O 1.485 0.351 4.325
O 4.456 7.432 6.060
O 1.485 4.242 0.868
O 4.456 3.541 9.517
Rb 1.485 3.815 8.305
Rb 4.456 3.968 2.080
Rb 1.485 7.706 7.272
Rb 4.456 0.077 3.113
Rb 4.456 6.442 9.459
Rb 1.485 1.341 0.927
Rb 4.456 2.551 6.119
Rb 1.485 5.232 4.266
```

Properties
magnetization = 0.00 μB per formula unit
space-group type = Pnma (62)
energy = -5.830 eV/atom
uncorrected formation energy = -1911 meV/atom
DOS(E_F) = 0.00 states/eV per cell

Below is a geometry-optimized RbSO3 structure, with properties calculated at the PBEsol level.

Cell and atoms, written as extended XYZ:
```
30
Lattice="-5.696 -2.765 1.224 4.730 -8.583 2.625 -1.929 7.077 7.009" Properties=species:S:1:pos:R:3 pbc="T T T"
Rb -0.870 -2.446 7.415
Rb -3.415 0.698 2.672
Rb -1.458 -3.905 1.384
Rb 1.066 -0.573 3.666
Rb -1.195 4.385 4.342
Rb 2.931 -5.318 1.627
S -4.715 -2.288 1.013
S -0.981 -0.476 0.211
S 0.208 -4.480 4.581
S -3.103 0.210 6.277
S -1.728 -5.420 4.997
S -1.167 1.150 5.861
O -1.420 -6.838 5.229
O -2.532 -5.183 3.791
O -2.238 -4.728 6.188
O -1.190 2.414 6.608
O -1.138 1.329 4.403
O -0.167 0.194 6.355
O 1.037 -4.898 5.712
O 0.593 -5.055 3.292
O -0.109 -3.053 4.547
O -3.179 0.223 7.738
O -4.058 1.091 5.605
O -2.969 -1.119 5.681
O -2.244 -2.520 10.001
O -4.081 -2.134 2.327
O -5.948 3.845 7.141
O 1.657 -2.991 8.793
O -0.842 -1.046 1.555
O 2.775 -7.966 2.759
```

Properties
magnetization = 0.00 μB per formula unit
space-group type = P321 (150)
energy = -5.920 eV/atom
uncorrected formation energy = -1689 meV/atom
DOS(E_F) = 0.00 states/eV per cell

Below is a geometry-optimized RbSO3 structure, with properties calculated at the PBEsol level.

Cell and atoms, written as extended XYZ:
```
5
Lattice="-3.532 1.465 -0.284 -1.379 -3.483 -0.819 -0.571 -0.653 3.735" Properties=species:S:1:pos:R:3 pbc="T T T"
S 0.000 0.000 0.000
O -0.689 -1.741 -0.410
O -0.285 -0.326 1.867
O -1.766 0.732 -0.142
Rb -2.741 -1.335 1.316
```

Properties
magnetization = 0.00 μB per formula unit
space-group type = Pm-3m (221)
energy = -4.701 eV/atom
uncorrected formation energy = -470 meV/atom
DOS(E_F) = 3.16 states/eV per cell

Below is a geometry-optimized Rb2SiS6O21 structure, with properties calculated at the PBEsol level.

Cell and atoms, written as extended XYZ:
```
60
Lattice="9.624 0.000 0.000 -4.812 8.335 0.000 0.000 0.000 11.297" Properties=species:S:1:pos:R:3 pbc="T T T"
Rb 4.812 2.778 4.872
Rb 0.000 5.557 6.426
Rb 4.812 2.778 9.844
Rb 0.000 5.557 1.453
Si 0.000 0.000 2.600
Si 0.000 0.000 8.697
S 2.748 0.675 7.474
S 7.666 2.042 7.474
S 4.023 5.618 7.474
S 2.065 7.659 3.824
S -2.853 6.293 3.824
S 0.789 2.717 3.824
S 2.332 1.693 1.650
S 6.993 1.173 1.650
S 5.112 5.469 1.650
S 2.481 6.642 9.648
S -2.180 7.162 9.648
S -0.300 2.866 9.648
O 1.476 2.925 2.336
O 1.541 8.151 2.336
O -3.017 5.594 2.336
O 3.336 5.410 8.962
O 3.272 0.184 8.962
O 7.829 2.741 8.962
O 1.245 0.682 7.635
O 8.412 0.737 7.635
O 4.780 6.916 7.635
O 3.567 7.653 3.663
O -3.599 7.598 3.663
O 0.032 1.419 3.663
O 1.266 0.622 1.521
O 8.453 0.785 1.521
O 4.718 6.928 1.521
O 3.546 7.713 9.776
O -3.640 7.550 9.776
O 0.094 1.407 9.776
O 3.254 2.010 7.412
O 6.257 1.813 7.412
O 4.926 4.512 7.412
O 1.559 6.325 3.886
O -1.445 6.522 3.886
O -0.114 3.823 3.886
O 2.650 2.208 0.358
O 6.387 1.191 0.358
O 5.399 4.936 0.358
O 2.162 6.127 10.939
O -1.575 7.143 10.939
O -0.587 3.399 10.939
O 3.374 1.319 2.552
O 6.795 2.263 2.552
O 4.267 4.753 2.552
O 1.438 7.016 8.745
O -1.983 6.072 8.745
O 0.545 3.582 8.745
O -1.640 8.052 6.504
O -1.341 2.889 6.504
O 2.981 5.729 6.504
O 6.452 0.283 4.793
O 6.153 5.446 4.793
O 1.831 2.606 4.793
```

Properties
magnetization = 0.00 μB per formula unit
space-group type = P-3 (147)
energy = -6.357 eV/atom
uncorrected formation energy = -1546 meV/atom
DOS(E_F) = 0.00 states/eV per cell

Below is a geometry-optimized Rb4WS3O14 structure, with properties calculated at the PBEsol level.

Cell and atoms, written as extended XYZ:
```
88
Lattice="-9.062 -3.329 0.802 1.970 -3.125 10.161 -4.202 12.565 4.679" Properties=species:S:1:pos:R:3 pbc="T T T"
Rb -2.175 1.257 2.650
Rb -6.233 -0.439 8.702
Rb -9.120 4.854 12.991
Rb -5.061 6.550 6.940
Rb -10.475 1.895 6.099
Rb -2.958 -3.986 8.551
Rb -0.820 4.216 9.543
Rb -8.337 10.097 7.091
Rb -4.825 5.030 2.654
Rb -6.391 -4.121 5.930
Rb -6.469 1.082 12.987
Rb -4.904 10.232 9.711
Rb -7.276 0.251 4.369
Rb -1.555 -0.259 8.821
Rb -4.019 5.861 11.272
Rb -9.740 6.370 6.820
W -3.789 2.405 6.295
W -6.219 -4.161 10.533
W -7.505 3.706 9.347
W -5.076 10.273 5.109
S -6.827 3.658 5.982
S -3.245 9.543 12.816
S -4.467 2.453 9.659
S -8.050 -3.432 2.826
S -0.535 1.753 6.192
S -3.916 -1.969 11.490
S -10.760 4.359 9.449
S -7.379 8.080 4.152
S -3.991 -0.948 5.658
S -8.305 -1.880 11.994
S -7.303 7.059 9.983
S -2.989 7.992 3.648
O -3.590 2.790 4.608
O -6.185 -3.281 9.031
O -7.705 3.321 11.033
O -5.110 9.393 6.611
O -3.393 3.949 7.015
O -4.925 -5.304 10.253
O -7.901 2.163 8.627
O -6.370 11.415 5.389
O -2.073 1.513 6.551
O -5.236 -2.862 11.606
O -9.222 4.598 9.090
O -6.059 8.973 4.036
O -5.785 2.600 6.393
O 1.328 -2.075 9.294
O -5.509 3.512 9.249
O -12.623 8.186 6.348
O -4.502 0.441 6.077
O -7.898 -3.236 11.391
O -6.793 5.670 9.565
O -3.397 9.347 4.251
O -4.121 1.696 8.413
O -8.418 -2.051 2.376
O -7.174 4.415 7.228
O -2.876 8.162 13.265
O -3.067 -0.793 4.519
O -7.690 -0.801 11.199
O -8.227 6.904 11.123
O -3.605 6.912 4.443
O -0.509 2.343 4.853
O -3.846 -1.511 10.101
O -10.786 3.768 10.789
O -7.449 7.622 5.541
O -9.112 -0.655 8.022
O -4.789 0.252 1.677
O -2.183 6.767 7.619
O -6.505 5.860 13.965
O -5.208 -1.680 5.257
O -0.713 1.475 11.074
O -6.086 7.791 10.385
O -10.581 4.636 4.568
O -6.236 4.575 5.021
O -11.523 6.553 12.441
O -5.059 1.536 10.620
O 0.228 -0.442 3.201
O 0.045 0.417 6.283
O -6.106 2.213 2.310
O -11.339 5.694 9.359
O -5.189 3.899 13.332
O -3.326 -1.564 6.814
O -9.828 1.281 3.232
O -7.968 7.676 8.827
O -1.467 4.830 12.410
O -7.966 2.915 5.460
O -0.480 -2.875 7.946
O -3.328 3.196 10.181
O -10.815 8.986 7.695
```

Properties
magnetization = 0.14 μB per formula unit
space-group type = P2_1/c (14)
energy = -6.602 eV/atom
uncorrected formation energy = -1850 meV/atom
DOS(E_F) = 0.00 states/eV per cell

Below is a geometry-optimized Rb3Sb5O14 structure, with properties calculated at the PBEsol level.

Cell and atoms, written as extended XYZ:
```
88
Lattice="7.229 0.000 0.000 0.000 7.410 0.000 0.000 0.000 24.627" Properties=species:S:1:pos:R:3 pbc="T T T"
O 3.109 3.705 17.708
O 4.120 3.705 6.919
O 0.505 3.705 5.395
O 6.724 3.705 19.232
O 2.457 0.000 24.198
O 4.772 0.000 0.428
O 1.157 0.000 11.885
O 6.072 0.000 12.742
O 1.170 1.460 22.082
O 6.059 1.460 2.545
O 2.444 5.951 9.769
O 4.785 5.951 14.858
O 6.059 5.951 2.545
O 1.170 5.951 22.082
O 4.785 1.460 14.858
O 2.444 1.460 9.769
O 1.686 2.043 19.435
O 5.544 2.043 5.191
O 1.929 5.367 7.122
O 5.300 5.367 17.505
O 5.544 5.367 5.191
O 1.686 5.367 19.435
O 5.300 2.043 17.505
O 1.929 2.043 7.122
O 0.000 1.326 0.000
O 3.615 6.084 12.313
O 0.000 6.084 0.000
O 3.615 1.326 12.313
O 0.854 2.332 16.901
O 6.376 2.332 7.726
O 2.761 5.079 4.587
O 4.468 5.079 20.039
O 6.376 5.079 7.726
O 0.854 5.079 16.901
O 4.468 2.332 20.039
O 2.761 2.332 4.587
O 2.293 3.705 21.666
O 4.936 3.705 2.961
O 1.322 3.705 9.353
O 5.908 3.705 15.274
O 2.447 0.000 14.605
O 4.782 0.000 10.022
O 1.168 0.000 2.291
O 6.061 0.000 22.335
O 0.327 1.897 14.155
O 6.902 1.897 10.472
O 3.288 5.513 1.841
O 3.942 5.513 22.785
O 6.902 5.513 10.472
O 0.327 5.513 14.155
O 3.942 1.897 22.785
O 3.288 1.897 1.841
O 3.406 0.000 21.108
O 3.823 0.000 3.518
O 0.209 0.000 8.795
O 7.021 0.000 15.832
Rb 1.967 3.705 24.284
Rb 5.263 3.705 0.343
Rb 1.648 3.705 11.971
Rb 5.581 3.705 12.656
Rb 2.851 0.000 17.423
Rb 4.378 0.000 7.204
Rb 0.763 0.000 5.110
Rb 6.466 0.000 19.517
Rb 2.830 3.705 15.122
Rb 4.399 3.705 9.505
Rb 0.784 3.705 2.809
Rb 6.445 3.705 21.818
Sb 0.598 0.000 23.230
Sb 6.631 0.000 1.397
Sb 3.017 0.000 10.917
Sb 4.212 0.000 13.710
Sb 0.664 0.000 13.851
Sb 6.565 0.000 10.776
Sb 2.950 0.000 1.538
Sb 4.279 0.000 23.089
Sb 1.236 3.705 18.331
Sb 5.993 3.705 6.296
Sb 2.378 3.705 6.018
Sb 4.851 3.705 18.609
Sb 2.812 1.956 21.039
Sb 4.418 1.956 3.588
Sb 0.803 5.455 8.726
Sb 6.426 5.455 15.901
Sb 4.418 5.455 3.588
Sb 2.812 5.455 21.039
Sb 6.426 1.956 15.901
Sb 0.803 1.956 8.726
```

Properties
magnetization = 0.00 μB per formula unit
space-group type = Pbam (55)
energy = -6.081 eV/atom
uncorrected formation energy = -1564 meV/atom

Below is a geometry-optimized Rb3SbO3 structure, with properties calculated at the PBEsol level.

Cell and atoms, written as extended XYZ:
```
14
Lattice="-3.606 -1.414 5.511 -2.383 -3.827 -5.005 5.866 -4.589 1.735" Properties=species:S:1:pos:R:3 pbc="T T T"
Rb -0.287 -6.560 1.472
Rb 0.315 -5.658 -2.119
Rb -0.438 -4.172 4.360
Rb -3.352 -1.914 3.330
Rb -2.636 -3.326 -2.824
Rb 0.165 -3.270 0.769
Sb -3.311 -4.528 0.654
Sb 3.189 -5.302 1.587
O 4.245 -3.667 1.335
O -2.264 -4.455 2.303
O -1.927 -5.119 -0.593
O 1.804 -4.711 2.835
O 2.141 -5.375 -0.062
O -4.367 -6.163 0.906
```

Properties
magnetization = 0.00 μB per formula unit
space-group type = C2/m (12)
energy = -4.812 eV/atom
uncorrected formation energy = -1472 meV/atom
DOS(E_F) = 0.00 states/eV per cell

Below is a geometry-optimized Rb4Sb2O5 structure, with properties calculated at the PBEsol level.

Cell and atoms, written as extended XYZ:
```
44
Lattice="6.548 0.000 0.000 0.000 8.116 0.000 0.000 0.000 19.009" Properties=species:S:1:pos:R:3 pbc="T T T"
Rb 1.637 5.070 16.034
Rb 1.637 5.076 9.734
Rb 4.911 5.069 18.761
Rb 4.911 5.075 12.466
Rb 1.637 7.098 0.230
Rb 1.637 7.104 6.529
Rb 4.911 7.099 2.961
Rb 4.911 7.105 9.257
Rb 4.911 1.012 12.480
Rb 1.637 1.017 16.048
Rb 4.911 1.018 18.780
Rb 1.637 1.011 9.753
Rb 1.637 3.041 6.543
Rb 4.911 3.040 9.275
Rb 1.637 3.047 0.248
Rb 4.911 3.046 2.975
Sb 1.637 5.012 3.142
Sb 4.911 5.132 6.365
Sb 4.911 7.042 15.870
Sb 1.637 7.162 12.647
Sb 4.911 0.954 6.362
Sb 1.637 1.074 3.140
Sb 1.637 2.984 12.644
Sb 4.911 3.104 15.867
O 3.445 5.081 7.622
O 0.171 5.065 1.886
O 4.911 5.074 15.360
O 3.103 5.065 1.886
O 6.378 5.081 7.622
O 3.445 7.093 17.126
O 4.911 7.100 5.855
O 3.103 7.109 11.391
O 0.171 7.109 11.391
O 6.378 7.093 17.126
O 0.171 1.023 1.883
O 3.103 1.023 1.883
O 6.377 1.007 7.619
O 3.445 1.007 7.619
O 1.637 1.016 13.154
O 0.171 3.035 11.388
O 3.103 3.035 11.388
O 3.445 3.051 17.123
O 6.377 3.051 17.123
O 1.637 3.042 3.649
```

Properties
magnetization = 0.00 μB per formula unit
space-group type = Pnma (62)
energy = -5.099 eV/atom
uncorrected formation energy = -1511 meV/atom
DOS(E_F) = 0.00 states/eV per cell